Record 1
Entry from Alexandria via LeMat-Bulk: an optimized crystal structure of Ba4TmTl5 (GGA-PBE).

Unit cell a=4.1108 b=4.1108 c=21.6288 alpha=90.00 beta=90.00 gamma=90.00
With the nearest neighbours (Å) after each atom.
Space group P4/mmm (No. 123)
Inequivalent atoms, fractional coordinates:
Ba 0.0000 0.0000 0.1034 [2 per cell]  8 Tl 3.66-3.67
Ba 0.0000 0.0000 0.3145 [2 per cell]  8 Tl 3.73-3.74, 1 Tm 4.01, 4 Ba 4.11
Tm 0.0000 0.0000 0.5000 [1 per cell]  8 Tl 3.35
Tl 0.5000 0.5000 0.0000 [1 per cell]  8 Ba 3.67
Tl 0.5000 0.5000 0.2066 [2 per cell]  8 Ba 3.66-3.73
Tl 0.5000 0.5000 0.4230 [2 per cell]  1 Tl 3.33, 4 Tm 3.35

Calculated values
Magnetization: 0.00 μB/f.u.
Theoretical density: 7.91 Mg/m³
Density of states at the Fermi level: 8.867 states/eV/cell
Formation energy: -0.360 eV/atom

---

Record 2
Entry from Alexandria via LeMat-Bulk: an optimized crystal structure of NaPuAgHg (GGA-PBE).

Unit cell a=7.3992 b=7.3992 c=7.3992 alpha=90.00 beta=90.00 gamma=90.00
With the nearest neighbours (Å) after each atom.
Space group F-43m (No. 216)
Inequivalent atoms, fractional coordinates:
Na 0.0000 0.0000 0.0000 [4 per cell]  4 Hg 3.20, 4 Ag 3.20
Pu 0.0000 0.0000 0.5000 [4 per cell]  4 Ag 3.20, 4 Hg 3.20
Ag 0.2500 0.2500 0.7500 [4 per cell]  4 Na 3.20, 4 Pu 3.20
Hg 0.2500 0.2500 0.2500 [4 per cell]  4 Pu 3.20, 4 Na 3.20

Calculated values
Magnetization: 6.20 μB/f.u.
Theoretical density: 9.44 Mg/m³
Density of states at the Fermi level: 61.930 states/eV/cell
Formation energy: 0.040 eV/atom

---

Record 3
Entry from Alexandria via LeMat-Bulk: an optimized crystal structure of Rb4SmHo3Te8 (GGA-PBE).

Unit cell a=9.0689 b=9.0689 c=25.6686 alpha=90.00 beta=90.00 gamma=120.00
With the nearest neighbours (Å) after each atom.
Space group R-3m (No. 166, hexagonal axes)
Inequivalent atoms, fractional coordinates:
Rb 0.0000 0.0000 0.0000 [3 per cell]  6 Te 3.64
Rb 0.0000 0.5000 0.0000 [9 per cell]  6 Te 3.68
Sm 0.0000 0.0000 0.5000 [3 per cell]  6 Te 3.16
Ho 0.0000 0.5000 0.5000 [9 per cell]  6 Te 3.11-3.12
Te 0.0000 0.0000 0.2326 [6 per cell]  3 Ho 3.12
Te 0.0051 0.5026 0.7667 [18 per cell]  2 Ho 3.11, 1 Sm 3.16

Calculated values
Magnetization: 0.00 μB/f.u.
Theoretical density: 5.47 Mg/m³
E_form (uncorrected): -1.382 eV/atom

---

Record 4
Entry from Alexandria via LeMat-Bulk: an optimized crystal structure of TiSbO (GGA-PBE).

Unit cell a=2.9357 b=2.9357 c=5.8554 alpha=90.00 beta=90.00 gamma=90.00
With the nearest neighbours (Å) after each atom.
Space group P4/mmm (No. 123)
Inequivalent atoms, fractional coordinates:
Ti 0.0000 0.0000 0.0000 [1 per cell]  4 O 2.08
Sb 0.0000 0.0000 0.5000 [1 per cell]  2 Ti 2.93, 4 Sb 2.94
O 0.5000 0.5000 0.0000 [1 per cell]  4 Ti 2.08

Calculated values
Magnetization: 0.13 μB/f.u.
Theoretical density: 6.11 Mg/m³
E_form (uncorrected): -1.563 eV/atom
Density of states at the Fermi level: 2.108 states/eV/cell
Polymorph energy (0 for the lowest one): 0.0 meV per atom

---

Record 5
Entry from Alexandria via LeMat-Bulk: an optimized crystal structure of AcPr2Pb (GGA-PBE).

Unit cell a=4.4251 b=12.7746 c=10.3189 alpha=90.00 beta=90.00 gamma=90.00
With the nearest neighbours (Å) after each atom.
Space group Cmcm (No. 63)
Inequivalent atoms, fractional coordinates:
Ac 0.0000 0.0541 0.2500 [4 per cell]  3 Pb 3.51-3.66, 4 Pr 3.87
Pr 0.0000 0.3600 0.0386 [8 per cell]  3 Pb 3.33-3.39, 3 Pr 3.66-3.67
Pb 0.0000 0.2327 0.7500 [4 per cell]  6 Pr 3.33-3.39, 3 Ac 3.51-3.66

Calculated values
Magnetization: 0.00 μB/f.u.
Theoretical density: 8.15 Mg/m³
Density of states at the Fermi level: 27.318 states/eV/cell
Polymorph energy (0 for the lowest one): 36.9 meV per atom
Formation energy: -0.266 eV/atom

---

Record 6
Entry from Alexandria via LeMat-Bulk: an optimized crystal structure of FeHg2Pt (GGA-PBE).

Unit cell a=2.9175 b=4.6617 c=5.2995 alpha=90.00 beta=95.81 gamma=90.00
With the nearest neighbours (Å) after each atom.
Space group P2/m (No. 10)
Inequivalent atoms, fractional coordinates:
Fe 0.0000 0.0000 0.0000 [1 per cell]  4 Hg 2.80, 2 Pt 2.89, 2 Fe 2.92
Hg 0.2467 0.5000 0.7542 [2 per cell]  2 Fe 2.80, 2 Pt 2.83, 5 Hg 2.86-3.10
Pt 0.5000 0.0000 0.5000 [1 per cell]  4 Hg 2.83, 4 Fe 2.89-3.15, 2 Pt 2.92

Calculated values
Magnetization: 2.98 μB/f.u.
Theoretical density: 15.10 Mg/m³
Density of states at the Fermi level: 2.548 states/eV/cell
Formation energy: 0.320 eV/atom

---

Record 7
Entry from Alexandria via LeMat-Bulk: an optimized crystal structure of Pm3Mn5Te12 (GGA-PBE).

Unit cell a=17.1005 b=17.1005 c=17.1005 alpha=90.00 beta=90.00 gamma=90.00
With the nearest neighbours (Å) after each atom.
Space group Ia-3d (No. 230)
Inequivalent atoms, fractional coordinates:
Pm 0.0000 0.2500 0.1250 [24 per cell]  8 Te 3.29-3.31
Mn 0.0000 0.0000 0.0000 [16 per cell]  6 Te 2.77
Mn 0.0000 0.2500 0.3750 [24 per cell]  4 Te 2.62
Te 0.0270 0.0596 0.6480 [96 per cell]  2 Mn 2.62-2.77

Calculated values
Magnetization: 20.00 μB/f.u.
Theoretical density: 5.95 Mg/m³
E_form (uncorrected): -0.563 eV/atom
Density of states at the Fermi level: 52.735 states/eV/cell

---

Record 8
Entry from Alexandria via LeMat-Bulk: an optimized crystal structure of CsNa2SbI6 (GGA-PBE).

Unit cell a=8.3125 b=8.3125 c=22.8914 alpha=90.00 beta=90.00 gamma=120.00
With the nearest neighbours (Å) after each atom.
Space group R3 (No. 146, hexagonal axes)
Inequivalent atoms, fractional coordinates:
Cs 0.0000 0.0000 0.0000 [3 per cell]  6 I 3.76-4.04
Na 0.0000 0.0000 0.1952 [3 per cell]  6 I 3.25-3.28
Na 0.0000 0.0000 0.7221 [3 per cell]  6 I 3.23-3.41
Sb 0.0000 0.0000 0.5319 [3 per cell]  6 I 3.02-3.14
I 0.0033 0.3193 0.4579 [9 per cell]  1 Sb 3.14, 2 Na 3.23-3.28
I 0.1040 0.7535 0.2811 [9 per cell]  1 Sb 3.02, 1 Na 3.25

Calculated values
Magnetization: 0.00 μB/f.u.
Theoretical density: 3.86 Mg/m³
E_form (uncorrected): -0.927 eV/atom
Density of states at the Fermi level: 0.000 states/eV/cell